Record 1
The following is a PBE-GGA calculation of a relaxed Na3Sn3SbS8 crystal, from Alexandria.

Output
* raw formation energy: -8.93 eV per formula unit
* magnetic moment: 0.00 μB per cell

Cell lengths 7.727, 7.728, 8.200 Å; angles 118.11, 90.00, 120.00 degrees
Atoms (fractional coordinates):
Sn1 0.000 0.500 0.500
Na1 0.000 0.000 0.000
S1 0.755 0.510 0.276
S2 0.755 0.021 0.276
S3 0.245 0.979 0.724
S4 0.266 0.021 0.276
Sn2 0.500 0.500 0.500
S5 0.742 0.483 0.725
Na2 0.500 0.500 0.000
S6 0.258 0.517 0.275
S7 0.734 0.979 0.724
Na3 0.000 0.500 0.000
S8 0.245 0.490 0.724
Sn3 0.500 0.000 0.500
Sb1 0.000 0.000 0.500

Record 2
The following is a PBE-GGA calculation of a relaxed NaSn2SbS6 crystal, from Alexandria.

Output
* raw formation energy: -4.37 eV per formula unit
* magnetic moment: 0.00 μB per cell

Cell lengths 7.414, 8.780, 8.780 Å; angles 79.75, 76.21, 76.21 degrees
Atoms (fractional coordinates):
S1 0.861 0.006 0.192
S2 0.596 0.066 0.645
Sn1 0.805 0.618 0.809
S3 0.953 0.310 0.420
S4 0.453 0.420 0.310
Na1 0.750 0.118 0.882
Sn2 0.695 0.191 0.382
Sb1 0.750 0.748 0.252
S5 0.361 0.192 0.006
Na2 0.250 0.882 0.118
S6 0.404 0.934 0.355
Sn3 0.305 0.809 0.618
Sb2 0.250 0.252 0.748
S7 0.639 0.808 0.994
Sn4 0.195 0.382 0.191
S8 0.047 0.690 0.580
S9 0.096 0.645 0.066
S10 0.547 0.580 0.690
S11 0.139 0.994 0.808
S12 0.904 0.355 0.934

Record 3
The following is a PBE-GGA calculation of a relaxed Na2SnSbS4 crystal, from Alexandria.

Output
* raw formation energy: -5.12 eV per formula unit
* magnetic moment: 0.00 μB per cell

Cell lengths 5.898, 6.770, 10.412 Å; angles 90.00, 90.00, 90.00 degrees
Atoms (fractional coordinates):
S1 0.433 0.729 0.253
Na1 0.443 0.306 0.248
Sn1 0.963 0.189 0.000
S2 0.899 0.814 0.000
Na2 0.943 0.694 0.252
Sb1 0.474 0.798 0.000
S3 0.933 0.271 0.247
Sb2 0.974 0.202 0.500
S4 0.433 0.729 0.747
Na3 0.943 0.694 0.748
Sn2 0.463 0.811 0.500
S5 0.412 0.158 0.000
S6 0.933 0.271 0.753
S7 0.912 0.842 0.500
Na4 0.443 0.306 0.752
S8 0.399 0.186 0.500

Record 4
The following is a PBE-GGA calculation of a relaxed NaSr2SbS crystal, from Alexandria.

Output
* raw formation energy: -1.72 eV per formula unit
* magnetic moment: 0.00 μB per cell
* energy relative to the lowest polymorph listed for this composition: 840.6 meV per atom

Cell lengths 6.178, 4.542, 6.178 Å; angles 90.00, 90.00, 90.00 degrees
Atoms (fractional coordinates):
Sr1 0.500 0.000 0.000
Sb1 0.500 0.500 0.500
Na1 0.000 0.000 0.000
S1 0.000 0.500 0.000
Sr2 0.000 0.000 0.500

Record 5
The following is a PBE-GGA calculation of a relaxed NaSr2SbS4 crystal, from Alexandria.

Output
* raw formation energy: -10.71 eV per formula unit
* magnetic moment: 0.00 μB per cell

Cell lengths 8.279, 8.279, 8.404 Å; angles 120.50, 120.50, 89.16 degrees
Atoms (fractional coordinates):
S1 0.741 0.261 0.501
S2 0.753 0.747 0.984
S3 0.247 0.253 0.484
Sr1 0.000 0.000 0.500
S4 0.753 0.747 0.516
Sr2 0.500 0.000 0.500
Sb1 0.500 0.500 0.500
S5 0.259 0.739 0.499
Na1 0.000 0.500 0.000
S6 0.761 0.241 0.001
S7 0.247 0.253 0.016
Sb2 0.000 0.000 0.000
S8 0.239 0.759 0.999
Sr3 0.500 0.500 0.000
Sr4 0.500 0.000 0.000
Na2 0.000 0.500 0.500

Record 6
The following is a PBE-GGA calculation of a relaxed NaSr2SbS crystal, from Alexandria.

Output
* raw formation energy: -5.92 eV per formula unit
* magnetic moment: 0.00 μB per cell
* energy relative to the lowest polymorph listed for this composition: 0.0 meV per atom

Cell lengths 5.689, 5.689, 5.091 Å; angles 90.00, 90.00, 90.00 degrees
Atoms (fractional coordinates):
S1 0.000 0.000 0.000
Sb1 0.500 0.500 0.500
Sr1 0.000 0.500 0.000
Sr2 0.500 0.000 0.000
Na1 0.000 0.000 0.500